(1)
A relaxed structure of ScPaNb2. Source: Alexandria via LeMat-Bulk, functional PBE.

Results
Polymorph energy (0 for the lowest one) (meV/atom): 76

abc: 3.543 4.844 4.844
angles: 90.00 90.00 90.00
Atoms (fractional coordinates):
1 Pa 0.500 0.000 0.000
2 Nb 0.000 0.000 0.500
3 Sc 0.500 0.500 0.500
4 Nb 0.000 0.500 0.000


(2)
A relaxed structure of ScPaNb. Source: Alexandria via LeMat-Bulk, functional PBE.

Results
Polymorph energy (0 for the lowest one) (meV/atom): 0

abc: 3.141 4.906 4.906
angles: 120.00 90.00 90.00
Last column: magnetic moment on the atom in μB.
Atoms (fractional coordinates):
1 Sc 0.651 0.333 0.667  0.04
2 Nb 0.232 0.667 0.333  0.00
3 Pa 0.117 0.000 0.000  0.12


(3)
A relaxed structure of ScPaNb2. Source: Alexandria via LeMat-Bulk, functional PBE.

Results
Polymorph energy (0 for the lowest one) (meV/atom): 20

abc: 3.511 3.511 6.917
angles: 90.00 90.00 90.00
Atoms (fractional coordinates):
1 Sc 0.500 0.500 0.000
2 Pa 0.500 0.500 0.500
3 Nb 0.000 0.000 0.720
4 Nb 0.000 0.000 0.280


(4)
A relaxed structure of ScPaNb. Source: Alexandria via LeMat-Bulk, functional PBE.

Results
Polymorph energy (0 for the lowest one) (meV/atom): 29

abc: 3.513 3.513 5.865
angles: 107.43 107.43 90.00
Atoms (fractional coordinates):
1 Pa 0.016 0.016 0.032
2 Sc 0.330 0.330 0.660
3 Nb 0.654 0.654 0.309


(5)
A relaxed structure of ScPaNbSn. Source: Alexandria via LeMat-Bulk, functional PBE.

abc: 5.054 5.054 5.054
angles: 60.00 60.00 60.00
Atoms (fractional coordinates):
1 Sc 0.500 0.500 0.500
2 Sn 0.250 0.250 0.250
3 Nb 0.750 0.750 0.750
4 Pa 0.000 0.000 0.000


(6)
A relaxed structure of ScPaTaNb. Source: Alexandria via LeMat-Bulk, functional PBE.

abc: 4.891 4.891 4.891
angles: 60.00 60.00 60.00
Atoms (fractional coordinates):
1 Nb 0.000 0.000 0.000
2 Sc 0.750 0.750 0.750
3 Pa 0.250 0.250 0.250
4 Ta 0.500 0.500 0.500


(7)
A relaxed structure of ScPaNbV. Source: Alexandria via LeMat-Bulk, functional PBE.

abc: 4.794 4.794 4.794
angles: 60.00 60.00 60.00
Atoms (fractional coordinates):
1 Nb 0.000 0.000 0.000
2 Sc 0.250 0.250 0.250
3 V 0.500 0.500 0.500
4 Pa 0.750 0.750 0.750


(8)
A relaxed structure of ScPaNbW. Source: Alexandria via LeMat-Bulk, functional PBE.

abc: 4.823 4.823 4.823
angles: 60.00 60.00 60.00
Atoms (fractional coordinates):
1 W 0.000 0.000 0.000
2 Pa 0.250 0.250 0.250
3 Sc 0.750 0.750 0.750
4 Nb 0.500 0.500 0.500


Number 1: E -8.83 eV per atom, formation enthalpy at 0 K 162 meV per atom, density of states at the Fermi level 7.23 states/eV per cell. Number 2: E -8.51 eV per atom, formation enthalpy at 0 K 127 meV per atom, density of states at the Fermi level 5.55 states/eV per cell. Number 3: E -8.89 eV per atom, formation enthalpy at 0 K 105 meV per atom, density of states at the Fermi level 5.47 states/eV per cell. Number 4: E -8.48 eV per atom, formation enthalpy at 0 K 156 meV per atom, density of states at the Fermi level 5.24 states/eV per cell. Number 5: E -7.47 eV per atom, formation enthalpy at 0 K 1 meV per atom, density of states at the Fermi level 5.14 states/eV per cell. Number 6: E -9.30 eV per atom, formation enthalpy at 0 K 141 meV per atom, density of states at the Fermi level 5.15 states/eV per cell. Number 7: E -8.60 eV per atom, formation enthalpy at 0 K 153 meV per atom, density of states at the Fermi level 5.61 states/eV per cell. Number 8: E -9.57 eV per atom, formation enthalpy at 0 K 145 meV per atom, density of states at the Fermi level 3.25 states/eV per cell.